## LiCu2Au (PBE-GGA)

Data for a relaxed LiCu2Au crystal.

Lattice parameters (Å, degrees): 9.0919 2.7281 4.5094 90.00 98.23 90.00
With the nearest neighbours (Å) after each atom.
Space group C2/m (No. 12)
Asymmetric unit:
Li1 0.0000 0.0000 0.0000 x2  4 Au 2.64, 6 Cu 2.64-2.77, 2 Li 2.73
Cu1 0.2464 0.0000 0.7539 x4  6 Cu 2.60-2.73, 3 Li 2.64-2.77, 3 Au 2.72-2.73
Au1 0.0000 0.5000 0.5000 x2  4 Li 2.64, 6 Cu 2.72-2.73, 2 Au 2.73

Results
Crystal system: monoclinic
Uncorrected energy, eV/atom: -3.505
Magnetic moment, μB/cell: 0.00
ΔE to the lowest computed polymorph, eV per atom: 0.047